[1]
Computed, not measured: a relaxed structure of Y2Ho3Mg2 at the PBE level of DFT.

Cell and atoms, written as extended XYZ:
```
7
Lattice="-1.514 1.206 -3.170 -0.436 -3.405 -1.087 -13.307 -0.910 8.186" Properties=species:S:1:pos:R:3 pbc="T T T"
Y -6.682 -1.224 0.550
Ho -3.139 -1.147 -1.113
Mg -10.894 0.381 3.172
Mg -3.928 -0.086 1.844
Ho 0.000 0.000 0.000
Y -8.576 -1.885 3.379
Ho -12.119 -1.963 5.042
```

The value obtained for the calculated formation energy is 0.043 eV per atom. As for the density of states at the Fermi level: 9.16 states/eV per cell. Its space-group type is Cmmm (65).

[2]
Computed, not measured: a relaxed structure of Pr6Te3P2N at the PBE level of DFT.

Cell and atoms, written as extended XYZ:
```
12
Lattice="7.241 0.008 0.001 -3.612 6.276 0.001 -1.210 -2.095 7.333" Properties=species:S:1:pos:R:3 pbc="T T T"
P 0.015 4.182 0.001
Pr 0.166 4.187 5.855
Pr 2.253 0.002 1.479
Pr 2.489 4.310 1.534
Te -2.328 4.138 3.667
P 3.614 2.103 0.001
Te 4.747 0.052 3.667
Te 1.210 2.095 3.667
N 0.000 0.000 0.000
Pr -0.070 -0.121 5.800
Pr 3.544 2.237 5.855
Pr -1.124 1.953 1.479
```

For the raw formation energy, the calculation gives -1453 meV/atom. As for the density of states at the Fermi level: 5.52 states/eV per cell. Its space-group type is C2/m (12).

[3]
Computed, not measured: a relaxed structure of Th2SiBPt6 at the PBE level of DFT.

Cell and atoms, written as extended XYZ:
```
20
Lattice="6.352 0.000 0.000 0.000 6.815 0.000 0.000 0.000 8.448" Properties=species:S:1:pos:R:3 pbc="T T T"
Pt 1.361 3.998 0.000
Si 0.000 4.389 4.224
Pt 1.402 6.710 4.224
Pt 4.950 6.710 4.224
B 0.000 5.814 0.000
Th 0.000 1.958 1.962
Pt 3.176 1.186 6.321
Si 3.176 2.426 0.000
Pt 1.815 2.816 4.224
Th 3.176 4.856 2.262
B 3.176 1.001 4.224
Pt 1.774 0.104 0.000
Pt 4.991 3.998 0.000
Pt 3.176 1.186 2.127
Pt 4.536 2.816 4.224
Th 0.000 1.958 6.486
Th 3.176 4.856 6.186
Pt 0.000 5.628 6.351
Pt 0.000 5.628 2.097
Pt 4.578 0.104 0.000
```

For the raw formation energy, the calculation gives -972 meV/atom. As for the density of states at the Fermi level: 8.28 states/eV per cell. Its space-group type is Pmmn (59).

[4]
Computed, not measured: a relaxed structure of RbBeCrSe3 at the PBE level of DFT.

Cell and atoms, written as extended XYZ:
```
12
Lattice="3.667 0.000 0.000 0.000 9.095 -0.009 0.000 -4.357 8.465" Properties=species:S:1:pos:R:3 pbc="T T T"
Be 2.750 6.587 3.346
Se 2.750 3.602 1.383
Be 0.917 -1.848 5.109
Se 0.917 -2.260 7.263
Rb 2.750 3.981 6.417
Se 0.917 5.342 3.789
Se 0.917 1.136 7.073
Rb 0.917 0.757 2.039
Cr 0.917 5.201 0.943
Se 2.750 6.999 1.193
Se 2.750 -0.604 4.667
Cr 2.750 -0.462 7.513
```

For the raw formation energy, the calculation gives -713 meV/atom. As for the density of states at the Fermi level: 1.77 states/eV per cell. Its space-group type is P2_1/m (11).

[5]
Computed, not measured: a relaxed structure of KSc2Os at the PBE level of DFT.

Cell and atoms, written as extended XYZ:
```
4
Lattice="-1.519 -4.380 2.219 4.551 -2.327 -0.533 -1.362 4.268 2.518" Properties=species:S:1:pos:R:3 pbc="T T T"
Os 2.353 -0.706 1.414
Sc 0.109 -0.242 0.061
Sc 1.407 -3.111 0.782
K -0.683 -1.732 2.790
```

The value obtained for the calculated formation energy is 0.420 eV per atom. As for the density of states at the Fermi level: 2.82 states/eV per cell. Its space-group type is Immm (71).

[6]
Computed, not measured: a relaxed structure of K2ClF4 at the PBE level of DFT.

Cell and atoms, written as extended XYZ:
```
7
Lattice="-0.664 -5.748 -1.759 4.241 -3.240 2.845 -4.332 3.851 2.516" Properties=species:S:1:pos:R:3 pbc="T T T"
K 0.849 -1.941 2.952
F 0.404 -4.844 2.208
Cl -0.664 -5.748 -1.759
K -1.603 -3.195 0.650
F 2.691 -6.761 0.816
F -1.159 -0.293 1.394
F 0.887 -2.227 0.269
```

For the raw formation energy, the calculation gives -1805 meV/atom. Its space-group type is Fmmm (69).

[7]
Computed, not measured: a relaxed structure of AlHF3 at the PBE level of DFT.

Cell and atoms, written as extended XYZ:
```
5
Lattice="3.485 0.000 0.000 0.000 3.485 0.000 0.000 0.000 3.485" Properties=species:S:1:pos:R:3 pbc="T T T"
H 0.000 0.000 0.000
Al 1.743 1.743 1.743
F 0.000 0.000 1.743
F 1.743 0.000 0.000
F 0.000 1.743 0.000
```

The energy is -3.73 eV per atom. As for the density of states at the Fermi level: 1.46 states/eV per cell. Its space-group type is Pm-3m (221).

[8]
Computed, not measured: a relaxed structure of Zr4ZnOs2 at the PBE level of DFT.

Cell and atoms, written as extended XYZ:
```
7
Lattice="4.430 0.000 1.384 1.999 3.953 1.384 -0.056 -0.034 7.960" Properties=species:S:1:pos:R:3 pbc="T T T"
Zr 5.575 3.429 5.498
Zr 2.401 1.476 7.878
Os 4.760 2.927 8.107
Zr 0.797 0.490 5.230
Os 1.612 0.991 2.622
Zr 3.972 2.442 2.850
Zn 0.000 0.000 0.000
```

The value obtained for the calculated formation energy is -0.323 eV per atom. As for the density of states at the Fermi level: 4.83 states/eV per cell. Its space-group type is R-3m (166).

Spin magnetization: 0.6 0.0 0.0 2.0 0.0 1.0 0.0 0.0 (μB/cell)